The following is a DFT calculation (PBE) of a geometry-optimized PrZrCu2Sb4 structure.

Crystal system: tetragonal
DFT total energy: -5.14 eV/atom
SG: No. 99

abc: 4.299 4.299 9.891
angles: 90.00 90.00 90.00
Fractional positions:
Pr1 0.000 0.000 0.000
Zr1 0.500 0.500 0.482
Cu1 0.000 0.500 0.731
Cu2 0.500 0.000 0.731
Sb1 0.000 0.000 0.569
Sb2 0.000 0.500 0.259
Sb3 0.500 0.000 0.259
Sb4 0.500 0.500 0.892